Material: Cs3Li2BiBr9
Method: DFT, PBE
State: relaxed

Structure (CIF):
```
data_Cs3Li2BiBr9
_chemical_formula_sum 'Cs3 Li2 Bi1 Br9'
_cell_length_a 7.9373
_cell_length_b 7.9373
_cell_length_c 9.8855
_cell_angle_alpha 90.00
_cell_angle_beta 90.00
_cell_angle_gamma 120.00
_symmetry_space_group_name_H-M 'P -3 m 1'
_symmetry_Int_Tables_number 164
_symmetry_space_group_name_Hall '-P 3 2"'
loop_
_atom_site_label
_atom_site_type_symbol
_atom_site_fract_x
_atom_site_fract_y
_atom_site_fract_z
Cs1 Cs 0.0000 0.0000 0.0000
Cs2 Cs 0.3333 0.6667 0.6782
Li1 Li 0.3333 0.6667 0.1075
Bi1 Bi 0.0000 0.0000 0.5000
Br1 Br 0.0000 0.5000 0.0000
Br2 Br 0.1683 0.3366 0.3356
```

Volume = 539.4 Å³/cell
Crystal system = trigonal
Uncorrected formation energy = -1.30 eV per atom

Material: Cd6GaPb
Method: DFT, PBE
State: relaxed

Structure (CIF):
```
data_Cd6GaPb
_chemical_formula_sum 'Cd12 Ga2 Pb2'
_cell_length_a 13.7986
_cell_length_b 3.1876
_cell_length_c 10.8672
_cell_angle_alpha 90.00
_cell_angle_beta 128.28
_cell_angle_gamma 90.00
_symmetry_space_group_name_H-M 'C 1 2/m 1'
_symmetry_Int_Tables_number 12
loop_
_symmetry_equiv_pos_as_xyz
'x,y,z'
'-x,-y,-z'
'-x,y,-z'
'x,-y,z'
'x+1/2,y+1/2,z'
'-x+1/2,-y+1/2,-z'
'-x+1/2,y+1/2,-z'
'x+1/2,-y+1/2,z'
loop_
_atom_site_label
_atom_site_type_symbol
_atom_site_fract_x
_atom_site_fract_y
_atom_site_fract_z
Cd1 Cd 0.1182 0.0000 0.3749
Cd2 Cd 0.1345 0.5000 0.8641
Cd3 Cd 0.2384 0.0000 0.7239
Ga1 Ga 0.0000 0.5000 0.5000
Pb1 Pb 0.0000 0.0000 0.0000
```

Polymorph energy (0 for the lowest one) = 0 meV per atom
Volume = 375.2 Å³/cell
Crystal system = monoclinic
Formation energy from the elements = 0.03 eV per atom

Material: Nd2Dy7
Method: DFT, PBE
State: relaxed

Structure (CIF):
```
data_Nd2Dy7
_chemical_formula_sum 'Nd2 Dy7'
_cell_length_a 9.7244
_cell_length_b 9.7244
_cell_length_c 3.5580
_cell_angle_alpha 90.00
_cell_angle_beta 90.00
_cell_angle_gamma 120.00
_symmetry_space_group_name_H-M 'P -6 2 m'
_symmetry_Int_Tables_number 189
_symmetry_space_group_name_Hall 'P -6 -2'
loop_
_atom_site_label
_atom_site_type_symbol
_atom_site_fract_x
_atom_site_fract_y
_atom_site_fract_z
Nd1 Nd 0.3333 0.6667 0.0000
Dy1 Dy 0.0000 0.0000 0.5000
Dy2 Dy 0.0000 0.3533 0.5000
Dy3 Dy 0.0000 0.6962 0.0000
```

Polymorph energy (0 for the lowest one) = 27 meV per atom
Volume = 291.4 Å³/cell
Crystal system = hexagonal
Formation energy from the elements = 0.04 eV per atom